(1)
# CaGe2Rh2

A relaxed CaGe2Rh2 crystal (GGA-PBE, Alexandria).

* E_form: -0.640 eV per atom
* uncorrected energy: -5.828 eV/atom

Cell lengths 4.1637, 4.1637, 5.2898 Å; angles 90.00, 90.00, 90.00 degrees
Fractional positions:
Rh: 0.0000 0.5000 0.5000
Rh: 0.5000 0.0000 0.5000
Ge: 0.5000 0.5000 0.2397
Ge: 0.5000 0.5000 0.7603
Ca: 0.0000 0.0000 0.0000


(2)
# CaGe3Rh3

A relaxed CaGe3Rh3 crystal (GGA-PBE, Alexandria).

* E_form: -0.327 eV per atom
* uncorrected energy: -5.742 eV/atom

Cell lengths 6.7342, 6.7342, 6.7342 Å; angles 90.00, 90.00, 90.00 degrees
Fractional positions:
Ca: 0.0000 0.0000 0.0000
Ca: 0.5000 0.5000 0.5000
Rh: 0.5000 0.7500 0.0000
Rh: 0.0000 0.5000 0.2500
Rh: 0.0000 0.5000 0.7500
Rh: 0.5000 0.2500 0.0000
Rh: 0.2500 0.0000 0.5000
Rh: 0.7500 0.0000 0.5000
Ge: 0.5000 0.0000 0.2500
Ge: 0.7500 0.5000 0.0000
Ge: 0.0000 0.7500 0.5000
Ge: 0.2500 0.5000 0.0000
Ge: 0.0000 0.2500 0.5000
Ge: 0.5000 0.0000 0.7500


(3)
# Ca2Ge7Rh12

A relaxed Ca2Ge7Rh12 crystal (GGA-PBE, Alexandria).

* E_form: -0.643 eV per atom
* uncorrected energy: -6.573 eV/atom

Cell lengths 3.9395, 9.9300, 9.9300 Å; angles 120.00, 90.00, 90.00 degrees
Fractional positions:
Ca: 0.0000 0.6667 0.3333
Ca: 0.5000 0.0000 0.0000
Rh: 0.0000 0.2727 0.0470
Rh: 0.5000 0.2091 0.4428
Rh: 0.0000 0.0561 0.5440
Rh: 0.5000 0.5572 0.7663
Rh: 0.0000 0.7743 0.7273
Rh: 0.0000 0.4880 0.9439
Rh: 0.5000 0.7170 0.1039
Rh: 0.5000 0.8961 0.6131
Rh: 0.0000 0.4560 0.5120
Rh: 0.5000 0.3869 0.2830
Rh: 0.5000 0.2337 0.7909
Rh: 0.0000 0.9530 0.2257
Ge: 0.0000 0.7359 0.9514
Ge: 0.0000 0.0486 0.7845
Ge: 0.5000 0.4451 0.0696
Ge: 0.0000 0.2155 0.2641
Ge: 0.0000 0.3333 0.6667
Ge: 0.5000 0.6245 0.5549
Ge: 0.5000 0.9304 0.3755


(4)
# CaGe2Rh2

A relaxed CaGe2Rh2 crystal (GGA-PBE, Alexandria).

* E_form: -0.471 eV per atom
* uncorrected energy: -5.659 eV/atom

Cell lengths 7.5655, 7.5655, 2.9408 Å; angles 90.00, 90.00, 90.00 degrees
Fractional positions:
Rh: 0.3635 0.8635 0.0000
Rh: 0.8635 0.6365 0.0000
Rh: 0.1365 0.3635 0.0000
Rh: 0.6365 0.1365 0.0000
Ge: 0.1561 0.6561 0.5000
Ge: 0.6561 0.8439 0.5000
Ge: 0.8439 0.3439 0.5000
Ge: 0.3439 0.1561 0.5000
Ca: 0.0000 0.0000 0.0000
Ca: 0.5000 0.5000 0.0000


(5)
# Ca2Ge3SbRh4

A relaxed Ca2Ge3SbRh4 crystal (GGA-PBE, Alexandria).

* ΔE_f (raw): -715 meV per atom
* uncorrected energy: -5.853 eV/atom

Cell lengths 4.3215, 4.3215, 10.2294 Å; angles 90.00, 90.00, 90.00 degrees
Fractional positions:
Ge: 0.0000 0.0000 0.5000
Ge: 0.0000 0.5000 0.1223
Ge: 0.5000 0.0000 0.8777
Ca: 0.0000 0.5000 0.7568
Ca: 0.5000 0.0000 0.2432
Rh: 0.0000 0.0000 0.0000
Rh: 0.0000 0.5000 0.3620
Rh: 0.5000 0.0000 0.6380
Rh: 0.5000 0.5000 0.0000
Sb: 0.5000 0.5000 0.5000


(6)
# Ca2GeSb3Rh4

A relaxed Ca2GeSb3Rh4 crystal (GGA-PBE, Alexandria).

* ΔE_f (raw): -689 meV per atom
* uncorrected energy: -5.729 eV/atom

Cell lengths 4.3677, 4.3677, 10.8795 Å; angles 90.00, 90.00, 90.00 degrees
Fractional positions:
Ca: 0.5000 0.0000 0.2580
Ca: 0.0000 0.5000 0.7420
Sb: 0.0000 0.0000 0.5000
Sb: 0.0000 0.5000 0.1365
Sb: 0.5000 0.0000 0.8635
Rh: 0.5000 0.0000 0.6253
Rh: 0.0000 0.0000 0.0000
Rh: 0.0000 0.5000 0.3747
Rh: 0.5000 0.5000 0.0000
Ge: 0.5000 0.5000 0.5000


(7)
# Ca2Ge2SbRh5

A relaxed Ca2Ge2SbRh5 crystal (GGA-PBE, Alexandria).

* ΔE_f (raw): -674 meV per atom
* uncorrected energy: -6.086 eV/atom

Cell lengths 3.5520, 9.9280, 9.9280 Å; angles 90.00, 90.00, 90.00 degrees
Fractional positions:
Rh: 0.5000 0.9311 0.2096
Rh: 0.5000 0.4311 0.2904
Rh: 0.5000 0.7096 0.4311
Rh: 0.5000 0.5000 0.0000
Rh: 0.5000 0.2096 0.0689
Rh: 0.5000 0.7904 0.9311
Rh: 0.5000 0.0689 0.7904
Rh: 0.5000 0.5689 0.7096
Rh: 0.5000 0.0000 0.5000
Rh: 0.5000 0.2904 0.5689
Ge: 0.0000 0.8759 0.3759
Ge: 0.0000 0.6241 0.8759
Ge: 0.0000 0.3759 0.1241
Ge: 0.0000 0.1241 0.6241
Ca: 0.0000 0.8261 0.6739
Ca: 0.0000 0.6739 0.1739
Ca: 0.0000 0.3261 0.8261
Ca: 0.0000 0.1739 0.3261
Sb: 0.0000 0.0000 0.0000
Sb: 0.0000 0.5000 0.5000


(8)
# CaSiGeRh3

A relaxed CaSiGeRh3 crystal (GGA-PBE, Alexandria).

* ΔE_f (raw): -534 meV per atom
* uncorrected energy: -6.217 eV/atom

Cell lengths 5.7903, 5.7739, 7.7044 Å; angles 112.01, 90.00, 90.00 degrees
Fractional positions:
Ca: 0.2500 0.7224 0.4449
Ca: 0.7500 0.2776 0.5551
Rh: 0.5000 0.2512 0.0000
Rh: 0.2500 0.2374 0.4748
Rh: 0.7500 0.7626 0.5252
Rh: 0.0000 0.2512 0.0000
Rh: 0.5000 0.7488 0.0000
Rh: 0.0000 0.7488 0.0000
Ge: 0.2500 0.4046 0.8092
Ge: 0.7500 0.5954 0.1908
Si: 0.7500 0.9219 0.8439
Si: 0.2500 0.0781 0.1561


(9)
# Ca2SiGe2Rh5

A relaxed Ca2SiGe2Rh5 crystal (GGA-PBE, Alexandria).

* ΔE_f (raw): -650 meV per atom
* uncorrected energy: -6.192 eV/atom

Cell lengths 3.3670, 9.8897, 9.8897 Å; angles 90.00, 90.00, 90.00 degrees
Fractional positions:
Si: 0.0000 0.5000 0.5000
Si: 0.0000 0.0000 0.0000
Ge: 0.0000 0.3711 0.1289
Ge: 0.0000 0.6289 0.8711
Ge: 0.0000 0.8711 0.3711
Ge: 0.0000 0.1289 0.6289
Rh: 0.5000 0.3038 0.5651
Rh: 0.5000 0.6962 0.4349
Rh: 0.5000 0.1962 0.0651
Rh: 0.5000 0.0000 0.5000
Rh: 0.5000 0.5651 0.6962
Rh: 0.5000 0.5000 0.0000
Rh: 0.5000 0.0651 0.8038
Rh: 0.5000 0.4349 0.3038
Rh: 0.5000 0.8038 0.9349
Rh: 0.5000 0.9349 0.1962
Ca: 0.0000 0.6717 0.1717
Ca: 0.0000 0.3283 0.8283
Ca: 0.0000 0.8283 0.6717
Ca: 0.0000 0.1717 0.3283


(10)
# Ca2Si2GeRh5

A relaxed Ca2Si2GeRh5 crystal (GGA-PBE, Alexandria).

* ΔE_f (raw): -775 meV per atom
* uncorrected energy: -6.398 eV/atom

Cell lengths 3.3442, 9.8307, 9.8307 Å; angles 90.00, 90.00, 90.00 degrees
Fractional positions:
Rh: 0.5000 0.0686 0.7923
Rh: 0.5000 0.5000 0.0000
Rh: 0.5000 0.0000 0.5000
Rh: 0.5000 0.5686 0.7077
Rh: 0.5000 0.7077 0.4314
Rh: 0.5000 0.7923 0.9314
Rh: 0.5000 0.2923 0.5686
Rh: 0.5000 0.4314 0.2923
Rh: 0.5000 0.9314 0.2077
Rh: 0.5000 0.2077 0.0686
Ge: 0.0000 0.0000 0.0000
Ge: 0.0000 0.5000 0.5000
Si: 0.0000 0.6259 0.8741
Si: 0.0000 0.8741 0.3741
Si: 0.0000 0.1259 0.6259
Si: 0.0000 0.3741 0.1259
Ca: 0.0000 0.1735 0.3265
Ca: 0.0000 0.8265 0.6735
Ca: 0.0000 0.3265 0.8265
Ca: 0.0000 0.6735 0.1735


(11)
# Ca2SiGeRh6

A relaxed Ca2SiGeRh6 crystal (GGA-PBE, Alexandria).

* ΔE_f (raw): -275 meV per atom
* uncorrected energy: -6.090 eV/atom

Cell lengths 6.4338, 6.4349, 6.4363 Å; angles 59.99, 60.00, 90.00 degrees
Fractional positions:
Rh: 0.7446 0.2553 0.0000
Rh: 0.2553 0.2553 0.4893
Rh: 0.2552 0.2555 0.0000
Rh: 0.7447 0.7447 0.5107
Rh: 0.2554 0.7447 0.0000
Rh: 0.7448 0.7445 0.0000
Si: 0.5000 0.5000 0.0000
Ca: 0.2499 0.7499 0.5002
Ca: 0.7501 0.2501 0.4998
Ge: 0.0000 0.0000 0.0000


(12)
# CaSmGeRh

A relaxed CaSmGeRh crystal (GGA-PBE, Alexandria).

* E_form: -0.549 eV per atom
* energy above the lowest structure with this stoichiometry: 0.1414 eV/atom
* uncorrected energy: -5.221 eV/atom

Cell lengths 5.0164, 5.0164, 5.0164 Å; angles 60.00, 60.00, 60.00 degrees
Fractional positions:
Rh: 0.2500 0.2500 0.2500
Ca: 0.0000 0.0000 0.0000
Sm: 0.5000 0.5000 0.5000
Ge: 0.7500 0.7500 0.7500


(13)
# CaSmGeRh

A relaxed CaSmGeRh crystal (GGA-PBE, Alexandria).

* E_form: -0.690 eV per atom
* energy above the lowest structure with this stoichiometry: 0.0000 eV/atom
* uncorrected energy: -5.363 eV/atom

Cell lengths 4.3609, 3.9326, 5.9446 Å; angles 90.00, 111.52, 90.00 degrees
Fractional positions:
Rh: 0.4231 0.0000 0.8462
Sm: 0.8619 0.5000 0.7238
Ca: 0.1471 0.0000 0.2943
Ge: 0.5678 0.5000 0.1356


(14)
# Ca2SnGe3Rh4

A relaxed Ca2SnGe3Rh4 crystal (GGA-PBE, Alexandria).

* E_form: -0.715 eV per atom
* uncorrected energy: -5.841 eV/atom

Cell lengths 4.2906, 4.2906, 10.3590 Å; angles 90.00, 90.00, 90.00 degrees
Fractional positions:
Sn: 0.5000 0.5000 0.5000
Rh: 0.0000 0.5000 0.3579
Rh: 0.5000 0.0000 0.6421
Rh: 0.5000 0.5000 0.0000
Rh: 0.0000 0.0000 0.0000
Ca: 0.5000 0.0000 0.2406
Ca: 0.0000 0.5000 0.7594
Ge: 0.0000 0.5000 0.1219
Ge: 0.0000 0.0000 0.5000
Ge: 0.5000 0.0000 0.8781


(15)
# Ca2SnGe2Rh5

A relaxed Ca2SnGe2Rh5 crystal (GGA-PBE, Alexandria).

* E_form: -0.687 eV per atom
* uncorrected energy: -6.087 eV/atom

Cell lengths 3.5262, 9.9519, 9.9519 Å; angles 90.00, 90.00, 90.00 degrees
Fractional positions:
Rh: 0.5000 0.7905 0.9312
Rh: 0.5000 0.7095 0.4312
Rh: 0.5000 0.5000 0.0000
Rh: 0.5000 0.0688 0.7905
Rh: 0.5000 0.4312 0.2905
Rh: 0.5000 0.2095 0.0688
Rh: 0.5000 0.0000 0.5000
Rh: 0.5000 0.2905 0.5688
Rh: 0.5000 0.5688 0.7095
Rh: 0.5000 0.9312 0.2095
Ge: 0.0000 0.3755 0.1245
Ge: 0.0000 0.1245 0.6245
Ge: 0.0000 0.6245 0.8755
Ge: 0.0000 0.8755 0.3755
Ca: 0.0000 0.8263 0.6737
Ca: 0.0000 0.1737 0.3263
Ca: 0.0000 0.6737 0.1737
Ca: 0.0000 0.3263 0.8263
Sn: 0.0000 0.5000 0.5000
Sn: 0.0000 0.0000 0.0000


(16)
# Ca2GeTeRh

A relaxed Ca2GeTeRh crystal (GGA-PBE, Alexandria).

* ΔE_f (raw): -727 meV per atom
* uncorrected energy: -4.550 eV/atom

Cell lengths 5.4882, 5.4882, 4.6476 Å; angles 90.00, 90.00, 90.00 degrees
Fractional positions:
Rh: 0.0000 0.0000 0.0000
Te: 0.5000 0.5000 0.5000
Ge: 0.0000 0.0000 0.5000
Ca: 0.0000 0.5000 0.0000
Ca: 0.5000 0.0000 0.0000


(17)
# Ca2TlGe2Rh5

A relaxed Ca2TlGe2Rh5 crystal (GGA-PBE, Alexandria).

* E_form: -0.565 eV per atom
* uncorrected energy: -5.801 eV/atom

Cell lengths 3.5299, 10.0383, 10.0383 Å; angles 90.00, 90.00, 90.00 degrees
Fractional positions:
Ca: 0.0000 0.8262 0.6738
Ca: 0.0000 0.3262 0.8262
Ca: 0.0000 0.1738 0.3262
Ca: 0.0000 0.6738 0.1738
Rh: 0.5000 0.5687 0.7137
Rh: 0.5000 0.5000 0.0000
Rh: 0.5000 0.2137 0.0687
Rh: 0.5000 0.7863 0.9313
Rh: 0.5000 0.7137 0.4313
Rh: 0.5000 0.0000 0.5000
Rh: 0.5000 0.9313 0.2137
Rh: 0.5000 0.0687 0.7863
Rh: 0.5000 0.2863 0.5687
Rh: 0.5000 0.4313 0.2863
Ge: 0.0000 0.6247 0.8753
Ge: 0.0000 0.1247 0.6247
Ge: 0.0000 0.8753 0.3753
Ge: 0.0000 0.3753 0.1247
Tl: 0.0000 0.0000 0.0000
Tl: 0.0000 0.5000 0.5000


(18)
# Ca2GeRhW

A relaxed Ca2GeRhW crystal (GGA-PBE, Alexandria).

* E_form: 0.892 eV per atom
* uncorrected energy: -4.893 eV/atom

Cell lengths 5.3698, 4.7493, 5.3698 Å; angles 90.00, 90.00, 90.00 degrees
Site moments in Bohr magnetons follow the coordinates.
Fractional positions:
Ge: 0.0000 0.0000 0.0000  -0.07
Rh: 0.5000 0.5000 0.5000  -0.23
Ca: 0.5000 0.0000 0.0000  0.01
Ca: 0.0000 0.0000 0.5000  0.01
W: 0.0000 0.5000 0.0000  1.68


(19)
# Ca2Zn3Ge4Rh

A relaxed Ca2Zn3Ge4Rh crystal (GGA-PBE, Alexandria).

* E_form: -0.395 eV per atom
* uncorrected energy: -3.760 eV/atom

Cell lengths 4.2717, 4.2717, 10.5984 Å; angles 90.00, 90.00, 90.00 degrees
Fractional positions:
Ge: 0.0000 0.0000 0.0000
Ge: 0.5000 0.0000 0.6286
Ge: 0.5000 0.5000 0.0000
Ge: 0.0000 0.5000 0.3714
Ca: 0.0000 0.5000 0.7428
Ca: 0.5000 0.0000 0.2572
Zn: 0.0000 0.5000 0.1389
Zn: 0.0000 0.0000 0.5000
Zn: 0.5000 0.0000 0.8611
Rh: 0.5000 0.5000 0.5000


(20)
# Ca2ZnGe4Rh3

A relaxed Ca2ZnGe4Rh3 crystal (GGA-PBE, Alexandria).

* E_form: -0.599 eV per atom
* uncorrected energy: -5.179 eV/atom

Cell lengths 4.2172, 4.2172, 10.4503 Å; angles 90.00, 90.00, 90.00 degrees
Fractional positions:
Ca: 0.0000 0.5000 0.7533
Ca: 0.5000 0.0000 0.2467
Ge: 0.5000 0.0000 0.6371
Ge: 0.0000 0.5000 0.3629
Ge: 0.5000 0.5000 0.0000
Ge: 0.0000 0.0000 0.0000
Rh: 0.0000 0.0000 0.5000
Rh: 0.5000 0.0000 0.8737
Rh: 0.0000 0.5000 0.1263
Zn: 0.5000 0.5000 0.5000